A plane-wave DFT calculation with PBE-GGA was carried out for crystalline Y3RuPb at its relaxed geometry.

Computed properties:
Symmetry ... No. 62
DFT formation energy ... -0.337 eV/atom
Theoretical density ... 6.99 g/cm³
Distance to the lowest polymorph of the same formula ... 74.7 meV/atom

Lattice parameters (Å, degrees): 8.4610 10.5202 6.1374 90.00 90.00 90.00
Sites, in units of the cell vectors:
Y: 0.0401 0.2500 0.1156
Y: 0.1806 0.0509 0.6217
Y: 0.1806 0.4491 0.6217
Y: 0.3194 0.5509 0.1217
Y: 0.3194 0.9491 0.1217
Y: 0.4599 0.7500 0.6156
Y: 0.5401 0.2500 0.3844
Y: 0.6806 0.0509 0.8783
Y: 0.6806 0.4491 0.8783
Y: 0.8194 0.5509 0.3783
Y: 0.8194 0.9491 0.3783
Y: 0.9599 0.7500 0.8844
Ru: 0.0000 0.0000 0.0000
Ru: 0.0000 0.5000 0.0000
Ru: 0.5000 0.0000 0.5000
Ru: 0.5000 0.5000 0.5000
Pb: 0.1080 0.7500 0.4056
Pb: 0.3920 0.2500 0.9056
Pb: 0.6080 0.7500 0.0944
Pb: 0.8920 0.2500 0.5944

***

A plane-wave DFT calculation with PBE-GGA was carried out for crystalline Y3RuPb at its relaxed geometry.

Computed properties:
Symmetry ... No. 11
DFT formation energy ... -0.392 eV/atom
Theoretical density ... 7.06 g/cm³
Distance to the lowest polymorph of the same formula ... 19.7 meV/atom

Lattice parameters (Å, degrees): 7.1345 4.8192 8.5088 90.00 112.40 90.00
Sites, in units of the cell vectors:
Y: 0.0599 0.2500 0.2746
Y: 0.3014 0.2500 0.9364
Y: 0.3439 0.7500 0.5976
Y: 0.6561 0.2500 0.4024
Y: 0.6986 0.7500 0.0636
Y: 0.9401 0.7500 0.7254
Ru: 0.0950 0.2500 0.6074
Ru: 0.9050 0.7500 0.3926
Pb: 0.3116 0.7500 0.1936
Pb: 0.6884 0.2500 0.8064

***

A plane-wave DFT calculation with PBE-GGA was carried out for crystalline Y3RuPb at its relaxed geometry.

Computed properties:
Symmetry ... No. 62
DFT formation energy ... -0.213 eV/atom
Theoretical density ... 6.89 g/cm³
Distance to the lowest polymorph of the same formula ... 199.0 meV/atom

Lattice parameters (Å, degrees): 7.3804 8.8175 8.5150 90.00 90.00 90.00
Sites, in units of the cell vectors:
Y: 0.1222 0.0627 0.1539
Y: 0.1222 0.4373 0.1539
Y: 0.1562 0.2500 0.7797
Y: 0.3438 0.7500 0.2797
Y: 0.3778 0.5627 0.6539
Y: 0.3778 0.9373 0.6539
Y: 0.6222 0.0627 0.3461
Y: 0.6222 0.4373 0.3461
Y: 0.6562 0.2500 0.7203
Y: 0.8438 0.7500 0.2203
Y: 0.8778 0.5627 0.8461
Y: 0.8778 0.9373 0.8461
Ru: 0.1261 0.7500 0.0009
Ru: 0.3739 0.2500 0.5009
Ru: 0.6261 0.7500 0.4991
Ru: 0.8739 0.2500 0.9991
Pb: 0.0000 0.0000 0.5000
Pb: 0.0000 0.5000 0.5000
Pb: 0.5000 0.0000 0.0000
Pb: 0.5000 0.5000 0.0000

***

A plane-wave DFT calculation with PBE-GGA was carried out for crystalline Y5Ru4Pb at its relaxed geometry.

Computed properties:
Symmetry ... No. 123
DFT formation energy ... -0.354 eV/atom
Theoretical density ... 8.10 g/cm³

Lattice parameters (Å, degrees): 3.4344 3.4344 18.3426 90.00 90.00 90.00
Sites, in units of the cell vectors:
Y: 0.0000 0.0000 0.0000
Y: 0.0000 0.0000 0.1840
Y: 0.0000 0.0000 0.3683
Y: 0.0000 0.0000 0.6317
Y: 0.0000 0.0000 0.8160
Ru: 0.5000 0.5000 0.0927
Ru: 0.5000 0.5000 0.2808
Ru: 0.5000 0.5000 0.7192
Ru: 0.5000 0.5000 0.9073
Pb: 0.5000 0.5000 0.5000

***

A plane-wave DFT calculation with PBE-GGA was carried out for crystalline Y3RuPb at its relaxed geometry.

Computed properties:
Symmetry ... No. 14
DFT formation energy ... -0.322 eV/atom
Theoretical density ... 6.98 g/cm³
Distance to the lowest polymorph of the same formula ... 89.7 meV/atom

Lattice parameters (Å, degrees): 9.4567 6.3875 10.6329 90.00 121.53 90.00
Sites, in units of the cell vectors:
Y: 0.0298 0.0566 0.3006
Y: 0.0298 0.4434 0.8006
Y: 0.3046 0.2034 0.6893
Y: 0.3046 0.2966 0.1893
Y: 0.3960 0.7403 0.9230
Y: 0.3960 0.7597 0.4230
Y: 0.6040 0.2403 0.5770
Y: 0.6040 0.2597 0.0770
Y: 0.6954 0.7034 0.8107
Y: 0.6954 0.7966 0.3107
Y: 0.9702 0.5566 0.1994
Y: 0.9702 0.9434 0.6994
Ru: 0.2718 0.1394 0.9325
Ru: 0.2718 0.3606 0.4325
Ru: 0.7282 0.6394 0.5675
Ru: 0.7282 0.8606 0.0675
Pb: 0.1703 0.6931 0.5680
Pb: 0.1703 0.8069 0.0680
Pb: 0.8297 0.1931 0.9320
Pb: 0.8297 0.3069 0.4320

***

A plane-wave DFT calculation with PBE-GGA was carried out for crystalline YZrRuPb2 at its relaxed geometry.

Computed properties:
Symmetry ... No. 123
DFT formation energy ... 0.537 eV/atom
Theoretical density ... 7.79 g/cm³

Lattice parameters (Å, degrees): 5.5799 5.5799 4.7654 90.00 90.00 90.00
Sites, in units of the cell vectors:
Y: 0.0000 0.0000 0.0000
Zr: 0.5000 0.5000 0.5000
Ru: 0.5000 0.5000 0.0000
Pb: 0.0000 0.5000 0.5000
Pb: 0.5000 0.0000 0.5000

***

A plane-wave DFT calculation with PBE-GGA was carried out for crystalline ZnRuPb2 at its relaxed geometry.

Computed properties:
Symmetry ... No. 216
DFT formation energy ... 0.621 eV/atom
Theoretical density ... 11.16 g/cm³

Lattice parameters (Å, degrees): 4.9624 4.9624 4.9624 60.00 60.00 60.00
Sites, in units of the cell vectors:
Zn: 0.0000 0.0000 0.0000
Ru: 0.2500 0.2500 0.2500
Pb: 0.5000 0.5000 0.5000
Pb: 0.7500 0.7500 0.7500

***

A plane-wave DFT calculation with PBE-GGA was carried out for crystalline ZnRu2Pb at its relaxed geometry.

Computed properties:
Symmetry ... No. 216
DFT formation energy ... 0.562 eV/atom
Theoretical density ... 11.75 g/cm³

Lattice parameters (Å, degrees): 4.5614 4.5614 4.5614 60.00 60.00 60.00
Sites, in units of the cell vectors:
Zn: 0.0000 0.0000 0.0000
Ru: 0.5000 0.5000 0.5000
Ru: 0.7500 0.7500 0.7500
Pb: 0.2500 0.2500 0.2500

***

A plane-wave DFT calculation with PBE-GGA was carried out for crystalline ZnRuPb2 at its relaxed geometry.

Computed properties:
Symmetry ... No. 12
DFT formation energy ... 0.495 eV/atom
Theoretical density ... 11.32 g/cm³

Lattice parameters (Å, degrees): 4.9738 4.9738 5.4046 100.79 100.79 40.59
Sites, in units of the cell vectors:
Zn: 0.0000 0.0000 0.0000
Ru: 0.5000 0.5000 0.5000
Pb: 0.2377 0.2377 0.7380
Pb: 0.7623 0.7623 0.2620

***

A plane-wave DFT calculation with PBE-GGA was carried out for crystalline ZnRuPb2 at its relaxed geometry.

Computed properties:
Symmetry ... No. 10
DFT formation energy ... 0.336 eV/atom
Theoretical density ... 10.57 g/cm³

Lattice parameters (Å, degrees): 3.2506 3.3907 8.4020 90.00 99.89 90.00
Sites, in units of the cell vectors:
Zn: 0.0000 0.0000 0.0000
Ru: 0.5000 0.0000 0.5000
Pb: 0.1000 0.5000 0.7073
Pb: 0.9000 0.5000 0.2927

***

A plane-wave DFT calculation with PBE-GGA was carried out for crystalline ZnRuPb2 at its relaxed geometry.

Computed properties:
Symmetry ... No. 123
DFT formation energy ... 0.354 eV/atom
Theoretical density ... 10.69 g/cm³

Lattice parameters (Å, degrees): 3.3147 3.3147 8.2095 90.00 90.00 90.00
Sites, in units of the cell vectors:
Zn: 0.0000 0.0000 0.0000
Ru: 0.0000 0.0000 0.5000
Pb: 0.5000 0.5000 0.2892
Pb: 0.5000 0.5000 0.7108

***

A plane-wave DFT calculation with PBE-GGA was carried out for crystalline ZnRuPb3 at its relaxed geometry.

Computed properties:
Symmetry ... No. 221
DFT formation energy ... 0.381 eV/atom
Theoretical density ... 8.91 g/cm³
Distance to the lowest polymorph of the same formula ... 0.0 meV/atom

Lattice parameters (Å, degrees): 5.2768 5.2768 5.2768 90.00 90.00 90.00
Sites, in units of the cell vectors:
Zn: 0.0000 0.0000 0.0000
Ru: 0.5000 0.5000 0.5000
Pb: 0.0000 0.5000 0.5000
Pb: 0.5000 0.0000 0.5000
Pb: 0.5000 0.5000 0.0000

***

A plane-wave DFT calculation with PBE-GGA was carried out for crystalline ZnRuPb2 at its relaxed geometry.

Computed properties:
Symmetry ... No. 44
DFT formation energy ... 0.294 eV/atom
Theoretical density ... 10.53 g/cm³

Lattice parameters (Å, degrees): 6.9763 6.9763 6.9763 153.95 141.94 46.70
Sites, in units of the cell vectors:
Zn: 0.0000 0.0000 0.0000
Ru: 0.8336 0.3336 0.5000
Pb: 0.3273 0.8273 0.5000
Pb: 0.6251 0.6251 0.0000

***

A plane-wave DFT calculation with PBE-GGA was carried out for crystalline ZnRuPb2 at its relaxed geometry.

Computed properties:
Symmetry ... No. 139
DFT formation energy ... 0.487 eV/atom
Theoretical density ... 11.54 g/cm³

Lattice parameters (Å, degrees): 5.1403 5.1403 5.1403 127.16 127.16 77.99
Sites, in units of the cell vectors:
Zn: 0.0000 0.0000 0.0000
Ru: 0.5000 0.5000 0.0000
Pb: 0.2500 0.7500 0.5000
Pb: 0.7500 0.2500 0.5000

***

A plane-wave DFT calculation with PBE-GGA was carried out for crystalline ZnRuPb2 at its relaxed geometry.

Computed properties:
Symmetry ... No. 160
DFT formation energy ... 0.333 eV/atom
Theoretical density ... 10.56 g/cm³

Lattice parameters (Å, degrees): 9.9942 9.9942 9.9942 18.88 18.88 18.88
Sites, in units of the cell vectors:
Zn: 0.0000 0.0000 0.0000
Ru: 0.2732 0.2732 0.2732
Pb: 0.5358 0.5358 0.5358
Pb: 0.7541 0.7541 0.7541

***

A plane-wave DFT calculation with PBE-GGA was carried out for crystalline ZnRu2Pb at its relaxed geometry.

Computed properties:
Symmetry ... No. 25
DFT formation energy ... 0.424 eV/atom
Theoretical density ... 11.87 g/cm³

Lattice parameters (Å, degrees): 3.0665 4.6524 4.6569 90.00 90.00 90.00
Sites, in units of the cell vectors:
Zn: 0.0000 0.0000 0.0000
Ru: 0.0000 0.5000 0.3022
Ru: 0.5000 0.0000 0.4664
Pb: 0.5000 0.5000 0.8025

***

A plane-wave DFT calculation with PBE-GGA was carried out for crystalline ZnRu2Pb at its relaxed geometry.

Computed properties:
Symmetry ... No. 71
DFT formation energy ... 0.459 eV/atom
Theoretical density ... 11.85 g/cm³

Lattice parameters (Å, degrees): 5.2119 5.2119 5.2119 145.13 123.52 68.12
Sites, in units of the cell vectors:
Zn: 0.0000 0.0000 0.0000
Ru: 0.2344 0.7344 0.5000
Ru: 0.7656 0.2656 0.5000
Pb: 0.5000 0.5000 0.0000

***

A plane-wave DFT calculation with PBE-GGA was carried out for crystalline ZnRu2Pb at its relaxed geometry.

Computed properties:
Symmetry ... No. 123
DFT formation energy ... 0.351 eV/atom
Theoretical density ... 12.15 g/cm³

Lattice parameters (Å, degrees): 3.2265 3.2265 6.2344 90.00 90.00 90.00
Sites, in units of the cell vectors:
Zn: 0.0000 0.0000 0.0000
Ru: 0.5000 0.5000 0.2266
Ru: 0.5000 0.5000 0.7734
Pb: 0.0000 0.0000 0.5000

***

A plane-wave DFT calculation with PBE-GGA was carried out for crystalline ZnRu2Pb at its relaxed geometry.

Computed properties:
Symmetry ... No. 65
DFT formation energy ... 0.611 eV/atom
Theoretical density ... 11.47 g/cm³

Lattice parameters (Å, degrees): 3.0032 3.0032 8.3954 90.00 90.00 114.82
Sites, in units of the cell vectors:
Zn: 0.0000 0.0000 0.0000
Ru: 0.5000 0.5000 0.2357
Ru: 0.5000 0.5000 0.7643
Pb: 0.0000 0.0000 0.5000

***

A plane-wave DFT calculation with PBE-GGA was carried out for crystalline ZnRu2Pb at its relaxed geometry.

Computed properties:
Symmetry ... No. 12
DFT formation energy ... 0.346 eV/atom
Theoretical density ... 11.69 g/cm³

Lattice parameters (Å, degrees): 4.5360 4.5360 5.2827 101.59 101.59 39.41
Sites, in units of the cell vectors:
Zn: 0.0000 0.0000 0.0000
Ru: 0.2554 0.2554 0.7916
Ru: 0.7446 0.7446 0.2084
Pb: 0.5000 0.5000 0.5000